# 1
This record from the Alexandria database describes a relaxed Sc2InPt crystal. The functional is PBEsol.

ΔE_f = -0.601 eV per atom

Cell lengths 3.469, 3.469, 6.538 Å; angles 90.00, 90.00, 90.00 degrees
Fractional positions:
Sc (0.000, 0.000, 0.000)
Sc (0.500, 0.500, 0.296)
In (0.000, 0.000, 0.554)
Pt (0.500, 0.500, 0.800)

=====

# 2
This record from the Alexandria database describes a relaxed Cd4HgSe5 crystal. The functional is PBEsol.

Energy relative to the elements, uncorrected = -488 meV per atom

Cell lengths 4.311, 4.311, 35.179 Å; angles 90.00, 90.00, 120.00 degrees
Fractional positions:
Cd (0.000, 0.000, 0.000)
Cd (0.000, 0.000, 0.199)
Cd (0.000, 0.000, 0.399)
Cd (0.000, 0.000, 0.598)
Cd (0.000, 0.000, 0.799)
Cd (0.667, 0.333, 0.100)
Cd (0.667, 0.333, 0.299)
Cd (0.667, 0.333, 0.498)
Hg (0.667, 0.333, 0.699)
Hg (0.667, 0.333, 0.900)
Se (0.000, 0.000, 0.075)
Se (0.000, 0.000, 0.274)
Se (0.000, 0.000, 0.474)
Se (0.000, 0.000, 0.673)
Se (0.000, 0.000, 0.874)
Se (0.667, 0.333, 0.175)
Se (0.667, 0.333, 0.374)
Se (0.667, 0.333, 0.574)
Se (0.667, 0.333, 0.774)
Se (0.667, 0.333, 0.975)

=====

# 3
This record from the Alexandria database describes a relaxed Hf2CuRe crystal. The functional is PBEsol.

ΔE_f = -0.289 eV per atom

Cell lengths 6.447, 6.447, 6.447 Å; angles 90.00, 90.00, 90.00 degrees
Fractional positions:
Hf (0.250, 0.250, 0.250)
Hf (0.250, 0.250, 0.750)
Hf (0.250, 0.750, 0.250)
Hf (0.250, 0.750, 0.750)
Hf (0.750, 0.250, 0.250)
Hf (0.750, 0.250, 0.750)
Hf (0.750, 0.750, 0.250)
Hf (0.750, 0.750, 0.750)
Cu (0.000, 0.000, 0.000)
Cu (0.000, 0.500, 0.500)
Cu (0.500, 0.000, 0.500)
Cu (0.500, 0.500, 0.000)
Re (0.000, 0.000, 0.500)
Re (0.000, 0.500, 0.000)
Re (0.500, 0.000, 0.000)
Re (0.500, 0.500, 0.500)

=====

# 4
This record from the Alexandria database describes a relaxed CuTcMo2 crystal. The functional is PBEsol.

Offset from the most stable computed form = 0.118 eV/atom
ΔE_f = 0.332 eV per atom

Cell lengths 6.096, 6.096, 6.096 Å; angles 90.00, 90.00, 90.00 degrees
Fractional positions:
Cu (0.000, 0.000, 0.000)
Cu (0.000, 0.500, 0.500)
Cu (0.500, 0.000, 0.500)
Cu (0.500, 0.500, 0.000)
Tc (0.000, 0.000, 0.500)
Tc (0.000, 0.500, 0.000)
Tc (0.500, 0.000, 0.000)
Tc (0.500, 0.500, 0.500)
Mo (0.250, 0.250, 0.250)
Mo (0.250, 0.250, 0.750)
Mo (0.250, 0.750, 0.250)
Mo (0.250, 0.750, 0.750)
Mo (0.750, 0.250, 0.250)
Mo (0.750, 0.250, 0.750)
Mo (0.750, 0.750, 0.250)
Mo (0.750, 0.750, 0.750)

=====

# 5
This record from the Alexandria database describes a relaxed Sc2AgRu crystal. The functional is PBEsol.

ΔE_f = -0.423 eV per atom

Cell lengths 6.515, 6.515, 6.515 Å; angles 90.00, 90.00, 90.00 degrees
Fractional positions:
Sc (0.250, 0.250, 0.250)
Sc (0.250, 0.250, 0.750)
Sc (0.250, 0.750, 0.250)
Sc (0.250, 0.750, 0.750)
Sc (0.750, 0.250, 0.250)
Sc (0.750, 0.250, 0.750)
Sc (0.750, 0.750, 0.250)
Sc (0.750, 0.750, 0.750)
Ag (0.000, 0.000, 0.000)
Ag (0.000, 0.500, 0.500)
Ag (0.500, 0.000, 0.500)
Ag (0.500, 0.500, 0.000)
Ru (0.000, 0.000, 0.500)
Ru (0.000, 0.500, 0.000)
Ru (0.500, 0.000, 0.000)
Ru (0.500, 0.500, 0.500)

=====

# 6
This record from the Alexandria database describes a relaxed BaZn3Tc crystal. The functional is PBEsol.

ΔE_f = 2.024 eV per atom

Cell lengths 5.579, 5.579, 5.579 Å; angles 90.00, 90.00, 90.00 degrees
Fractional positions:
Ba (0.000, 0.000, 0.000)
Zn (0.000, 0.000, 0.500)
Zn (0.000, 0.500, 0.000)
Zn (0.500, 0.000, 0.000)
Tc (0.500, 0.500, 0.500)

=====

# 7
This record from the Alexandria database describes a relaxed Ta3Au crystal. The functional is PBEsol.

Offset from the most stable computed form = 0.000 eV/atom
ΔE_f = -0.075 eV per atom

Cell lengths 3.456, 4.406, 9.089 Å; angles 90.00, 90.00, 90.00 degrees
Fractional positions:
Ta (0.000, 0.000, 0.000)
Ta (0.000, 0.500, 0.251)
Ta (0.000, 0.500, 0.749)
Ta (0.500, 0.000, 0.251)
Ta (0.500, 0.000, 0.749)
Ta (0.500, 0.500, 0.000)
Au (0.000, 0.000, 0.500)
Au (0.500, 0.500, 0.500)

=====

# 8
This record from the Alexandria database describes a relaxed MgCd2I crystal. The functional is PBEsol.

Energy relative to the elements, uncorrected = 207 meV per atom

Cell lengths 7.675, 7.675, 7.675 Å; angles 90.00, 90.00, 90.00 degrees
Fractional positions:
Mg (0.000, 0.000, 0.000)
Mg (0.000, 0.500, 0.500)
Mg (0.500, 0.000, 0.500)
Mg (0.500, 0.500, 0.000)
Cd (0.250, 0.250, 0.250)
Cd (0.250, 0.250, 0.750)
Cd (0.250, 0.750, 0.250)
Cd (0.250, 0.750, 0.750)
Cd (0.750, 0.250, 0.250)
Cd (0.750, 0.250, 0.750)
Cd (0.750, 0.750, 0.250)
Cd (0.750, 0.750, 0.750)
I (0.000, 0.000, 0.500)
I (0.000, 0.500, 0.000)
I (0.500, 0.000, 0.000)
I (0.500, 0.500, 0.500)

=====

# 9
This record from the Alexandria database describes a relaxed HgTe2Se crystal. The functional is PBEsol.

Energy relative to the elements, uncorrected = 209 meV per atom
Offset from the most stable computed form = 0.066 eV/atom

Cell lengths 3.246, 3.246, 34.502 Å; angles 90.00, 90.00, 120.00 degrees
Fractional positions:
Hg (0.000, 0.000, 0.000)
Hg (0.333, 0.667, 0.667)
Hg (0.667, 0.333, 0.333)
Te (0.000, 0.000, 0.420)
Te (0.000, 0.000, 0.580)
Te (0.333, 0.667, 0.087)
Te (0.333, 0.667, 0.246)
Te (0.667, 0.333, 0.754)
Te (0.667, 0.333, 0.913)
Se (0.000, 0.000, 0.500)
Se (0.333, 0.667, 0.167)
Se (0.667, 0.333, 0.833)

=====

# 10
This record from the Alexandria database describes a relaxed Cd2SbPd2 crystal. The functional is PBEsol.

Energy relative to the elements, uncorrected = -290 meV per atom

Cell lengths 7.090, 7.090, 3.714 Å; angles 90.00, 90.00, 90.00 degrees
Fractional positions:
Cd (0.151, 0.349, 0.000)
Cd (0.349, 0.849, 0.000)
Cd (0.651, 0.151, 0.000)
Cd (0.849, 0.651, 0.000)
Sb (0.000, 0.000, 0.500)
Sb (0.500, 0.500, 0.500)
Pd (0.147, 0.647, 0.500)
Pd (0.353, 0.147, 0.500)
Pd (0.647, 0.853, 0.500)
Pd (0.853, 0.353, 0.500)

=====

# 11
This record from the Alexandria database describes a relaxed SnF2 crystal. The functional is PBEsol.

Energy relative to the elements, uncorrected = -2255 meV per atom

Cell lengths 6.797, 6.797, 13.799 Å; angles 106.55, 106.55, 42.26 degrees
Fractional positions:
Sn (0.088, 0.138, 0.184)
Sn (0.138, 0.088, 0.684)
Sn (0.369, 0.371, 0.558)
Sn (0.371, 0.369, 0.058)
Sn (0.629, 0.631, 0.942)
Sn (0.631, 0.629, 0.442)
Sn (0.862, 0.912, 0.316)
Sn (0.912, 0.862, 0.816)
F (0.018, 0.329, 0.040)
F (0.040, 0.467, 0.696)
F (0.100, 0.674, 0.178)
F (0.304, 0.616, 0.415)
F (0.326, 0.900, 0.322)
F (0.329, 0.018, 0.540)
F (0.384, 0.696, 0.085)
F (0.467, 0.040, 0.196)
F (0.533, 0.960, 0.804)
F (0.616, 0.304, 0.915)
F (0.671, 0.982, 0.460)
F (0.674, 0.100, 0.678)
F (0.696, 0.384, 0.585)
F (0.900, 0.326, 0.822)
F (0.960, 0.533, 0.304)
F (0.982, 0.671, 0.960)

=====

# 12
This record from the Alexandria database describes a relaxed Cu2TeAs crystal. The functional is PBEsol.

Energy relative to the elements, uncorrected = 355 meV per atom
Offset from the most stable computed form = 0.236 eV/atom

Cell lengths 3.702, 3.808, 4.901 Å; angles 90.00, 90.00, 90.00 degrees
Fractional positions:
Cu (0.000, 0.000, 0.000)
Cu (0.000, 0.500, 0.500)
Te (0.500, 0.000, 0.500)
As (0.500, 0.500, 0.000)

=====

# 13
This record from the Alexandria database describes a relaxed Mg3BiPt crystal. The functional is PBEsol.

ΔE_f = -0.256 eV per atom

Cell lengths 4.978, 4.978, 4.978 Å; angles 90.00, 90.00, 90.00 degrees
Fractional positions:
Mg (0.000, 0.000, 0.500)
Mg (0.000, 0.500, 0.000)
Mg (0.500, 0.000, 0.000)
Bi (0.500, 0.500, 0.500)
Pt (0.000, 0.000, 0.000)

=====

# 14
This record from the Alexandria database describes a relaxed Sr3PdRu crystal. The functional is PBEsol.

ΔE_f = 0.424 eV per atom

Cell lengths 5.432, 5.432, 5.432 Å; angles 90.00, 90.00, 90.00 degrees
Fractional positions:
Sr (0.000, 0.000, 0.500)
Sr (0.000, 0.500, 0.000)
Sr (0.500, 0.000, 0.000)
Pd (0.500, 0.500, 0.500)
Ru (0.000, 0.000, 0.000)

=====

# 15
This record from the Alexandria database describes a relaxed CaCoW2 crystal. The functional is PBEsol.

Offset from the most stable computed form = 0.617 eV/atom
ΔE_f = 1.250 eV per atom

Cell lengths 4.742, 4.742, 2.765 Å; angles 90.00, 90.00, 90.00 degrees
Fractional positions:
Ca (0.000, 0.000, 0.000)
Co (0.500, 0.500, 0.000)
W (0.000, 0.500, 0.500)
W (0.500, 0.000, 0.500)

=====

# 16
This record from the Alexandria database describes a relaxed WBr2 crystal. The functional is PBEsol.

Energy relative to the elements, uncorrected = -466 meV per atom

Cell lengths 9.604, 9.604, 11.779 Å; angles 90.00, 90.00, 75.71 degrees
Fractional positions:
W (0.068, 0.932, 0.858)
W (0.123, 0.123, 0.000)
W (0.142, 0.858, 0.068)
W (0.358, 0.642, 0.568)
W (0.377, 0.377, 0.500)
W (0.432, 0.568, 0.358)
W (0.568, 0.432, 0.642)
W (0.623, 0.623, 0.500)
W (0.642, 0.358, 0.432)
W (0.858, 0.142, 0.932)
W (0.877, 0.877, 0.000)
W (0.932, 0.068, 0.142)
Br (0.048, 0.195, 0.790)
Br (0.088, 0.669, 0.926)
Br (0.148, 0.852, 0.648)
Br (0.169, 0.588, 0.426)
Br (0.195, 0.048, 0.210)
Br (0.209, 0.209, 0.500)
Br (0.291, 0.291, 0.000)
Br (0.305, 0.452, 0.710)
Br (0.331, 0.912, 0.926)
Br (0.352, 0.648, 0.148)
Br (0.412, 0.831, 0.426)
Br (0.452, 0.305, 0.290)
Br (0.548, 0.695, 0.710)
Br (0.588, 0.169, 0.574)
Br (0.648, 0.352, 0.852)
Br (0.669, 0.088, 0.074)
Br (0.695, 0.548, 0.290)
Br (0.709, 0.709, 0.000)
Br (0.791, 0.791, 0.500)
Br (0.805, 0.952, 0.790)
Br (0.831, 0.412, 0.574)
Br (0.852, 0.148, 0.352)
Br (0.912, 0.331, 0.074)
Br (0.952, 0.805, 0.210)

=====

# 17
This record from the Alexandria database describes a relaxed Al5Sb crystal. The functional is PBEsol.

Energy relative to the elements, uncorrected = 116 meV per atom
Offset from the most stable computed form = 0.000 eV/atom

Cell lengths 2.949, 2.949, 12.687 Å; angles 90.00, 90.00, 90.00 degrees
Fractional positions:
Al (0.000, 0.000, 0.000)
Al (0.000, 0.000, 0.304)
Al (0.000, 0.000, 0.696)
Al (0.500, 0.500, 0.152)
Al (0.500, 0.500, 0.848)
Sb (0.500, 0.500, 0.500)

=====

# 18
This record from the Alexandria database describes a relaxed BiHS2 crystal. The functional is PBEsol.

Offset from the most stable computed form = 0.000 eV/atom

Cell lengths 4.155, 4.155, 18.566 Å; angles 90.00, 90.00, 120.00 degrees
Fractional positions:
Bi (0.000, 0.000, 0.000)
Bi (0.333, 0.667, 0.667)
Bi (0.667, 0.333, 0.333)
H (0.000, 0.000, 0.500)
H (0.333, 0.667, 0.167)
H (0.667, 0.333, 0.833)
S (0.000, 0.000, 0.412)
S (0.000, 0.000, 0.588)
S (0.333, 0.667, 0.079)
S (0.333, 0.667, 0.254)
S (0.667, 0.333, 0.746)
S (0.667, 0.333, 0.921)

=====

# 19
This record from the Alexandria database describes a relaxed SbTe2PdCl crystal. The functional is PBEsol.

Energy relative to the elements, uncorrected = 292 meV per atom

Cell lengths 5.170, 5.170, 5.260 Å; angles 90.00, 90.00, 90.00 degrees
Fractional positions:
Sb (0.000, 0.000, 0.000)
Te (0.000, 0.500, 0.500)
Te (0.500, 0.000, 0.500)
Pd (0.000, 0.000, 0.500)
Cl (0.500, 0.500, 0.000)

=====

# 20
This record from the Alexandria database describes a relaxed La3CuSi crystal. The functional is PBEsol.

Energy relative to the elements, uncorrected = 184 meV per atom

Cell lengths 5.350, 5.350, 5.350 Å; angles 90.00, 90.00, 90.00 degrees
Fractional positions:
La (0.000, 0.000, 0.500)
La (0.000, 0.500, 0.000)
La (0.500, 0.000, 0.000)
Cu (0.000, 0.000, 0.000)
Si (0.500, 0.500, 0.500)

=====

# 21
This record from the Alexandria database describes a relaxed NaLiAl2Tc crystal. The functional is PBEsol.

ΔE_f = 0.981 eV per atom

Cell lengths 4.470, 4.470, 4.060 Å; angles 90.00, 90.00, 90.00 degrees
Fractional positions:
Na (0.000, 0.000, 0.000)
Li (0.000, 0.000, 0.500)
Al (0.000, 0.500, 0.500)
Al (0.500, 0.000, 0.500)
Tc (0.500, 0.500, 0.000)

=====

# 22
This record from the Alexandria database describes a relaxed DyYZn2 crystal. The functional is PBEsol.

ΔE_f = -0.348 eV per atom

Cell lengths 7.020, 7.020, 7.020 Å; angles 90.00, 90.00, 90.00 degrees
Fractional positions:
Dy (0.000, 0.000, 0.000)
Dy (0.000, 0.500, 0.500)
Dy (0.500, 0.000, 0.500)
Dy (0.500, 0.500, 0.000)
Y (0.000, 0.000, 0.500)
Y (0.000, 0.500, 0.000)
Y (0.500, 0.000, 0.000)
Y (0.500, 0.500, 0.500)
Zn (0.250, 0.250, 0.250)
Zn (0.250, 0.250, 0.750)
Zn (0.250, 0.750, 0.250)
Zn (0.250, 0.750, 0.750)
Zn (0.750, 0.250, 0.250)
Zn (0.750, 0.250, 0.750)
Zn (0.750, 0.750, 0.250)
Zn (0.750, 0.750, 0.750)

=====

# 23
This record from the Alexandria database describes a relaxed POsRu2 crystal. The functional is PBEsol.

ΔE_f = 0.442 eV per atom

Cell lengths 2.771, 4.735, 8.267 Å; angles 90.00, 90.00, 90.00 degrees
Fractional positions:
P (0.000, 0.000, 0.000)
P (0.500, 0.500, 0.000)
Os (0.000, 0.500, 0.772)
Os (0.500, 0.000, 0.772)
Ru (0.000, 0.000, 0.496)
Ru (0.000, 0.500, 0.221)
Ru (0.500, 0.000, 0.221)
Ru (0.500, 0.500, 0.496)

=====

# 24
This record from the Alexandria database describes a relaxed KMo2Se2 crystal. The functional is PBEsol.

Energy relative to the elements, uncorrected = -368 meV per atom

Cell lengths 3.906, 3.906, 14.203 Å; angles 90.00, 90.00, 90.00 degrees
Fractional positions:
K (0.000, 0.000, 0.000)
K (0.500, 0.500, 0.500)
Mo (0.000, 0.500, 0.250)
Mo (0.000, 0.500, 0.750)
Mo (0.500, 0.000, 0.250)
Mo (0.500, 0.000, 0.750)
Se (0.000, 0.000, 0.365)
Se (0.000, 0.000, 0.635)
Se (0.500, 0.500, 0.135)
Se (0.500, 0.500, 0.865)

=====

# 25
This record from the Alexandria database describes a relaxed CaSc2Pb crystal. The functional is PBEsol.

ΔE_f = -0.193 eV per atom

Cell lengths 3.624, 5.232, 11.090 Å; angles 90.00, 90.00, 90.00 degrees
Fractional positions:
Ca (0.000, 0.000, 0.000)
Ca (0.500, 0.500, 0.500)
Sc (0.000, 0.500, 0.221)
Sc (0.000, 0.500, 0.779)
Sc (0.500, 0.000, 0.279)
Sc (0.500, 0.000, 0.721)
Pb (0.000, 0.000, 0.500)
Pb (0.500, 0.500, 0.000)

=====

# 26
This record from the Alexandria database describes a relaxed Ni2MoAu crystal. The functional is PBEsol.

ΔE_f = 0.104 eV per atom

Cell lengths 8.425, 2.660, 4.835 Å; angles 90.00, 99.10, 90.00 degrees
Fractional positions:
Ni (0.248, 0.000, 0.222)
Ni (0.252, 0.500, 0.778)
Ni (0.748, 0.500, 0.222)
Ni (0.752, 0.000, 0.778)
Mo (0.000, 0.500, 0.000)
Mo (0.500, 0.000, 0.000)
Au (0.000, 0.000, 0.500)
Au (0.500, 0.500, 0.500)

=====

| no. | DFT total energy (eV/atom) |
| --- | --- |
| 1 | -6.39 |
| 2 | -2.95 |
| 3 | -9.96 |
| 4 | -9.45 |
| 5 | -7.10 |
| 6 | -1.61 |
| 7 | -10.47 |
| 8 | -1.26 |
| 9 | -2.66 |
| 10 | -4.06 |
| 11 | -4.96 |
| 12 | -3.97 |
| 13 | -3.54 |
| 14 | -3.91 |
| 15 | -8.12 |
| 16 | -6.32 |
| 17 | -4.05 |
| 18 | -4.30 |
| 19 | -3.62 |
| 20 | -5.04 |
| 21 | -3.58 |
| 22 | -4.09 |
| 23 | -9.15 |
| 24 | -6.84 |
| 25 | -5.03 |
| 26 | -6.90 |